Record 1
The following is a PBE calculation of Pu2GaRh3 after structural relaxation, from Alexandria via LeMat-Bulk.

Cell and atoms, written as extended XYZ:
```
6
Lattice="2.794 1.613 3.970 -2.794 1.613 3.970 0.000 -3.226 3.970" Properties=species:S:1:pos:R:3 pbc="T T T"
Pu 0.000 0.000 1.480
Pu 0.000 0.000 10.428
Ga 0.000 0.000 5.954
Rh -1.397 -0.807 3.970
Rh -1.397 0.807 7.939
Rh 0.000 1.613 3.970
```

Summary:
N(E_F)   16.6 states/eV/cell
Distance to the lowest polymorph of the same formula   0 meV/atom


Record 2
The following is a PBE calculation of Sr2NiSb2 after structural relaxation, from Alexandria via LeMat-Bulk.

Cell and atoms, written as extended XYZ:
```
10
Lattice="7.385 0.000 0.000 0.000 7.385 0.000 0.000 0.000 5.087" Properties=species:S:1:pos:R:3 pbc="T T T"
Sr 1.237 2.456 0.000
Sr 2.456 6.148 0.000
Sr 4.930 1.237 0.000
Sr 6.148 4.930 0.000
Ni 0.000 0.000 2.544
Ni 3.693 3.693 2.544
Sb 1.102 4.795 2.544
Sb 2.590 1.102 2.544
Sb 4.795 6.283 2.544
Sb 6.283 2.590 2.544
```

Summary:
N(E_F)   7.4 states/eV/cell


Record 3
The following is a PBE calculation of PaGaGePd after structural relaxation, from Alexandria via LeMat-Bulk.

Cell and atoms, written as extended XYZ:
```
4
Lattice="0.000 3.385 3.385 3.385 0.000 3.385 3.385 3.385 0.000" Properties=species:S:1:pos:R:3 pbc="T T T"
Pa 0.000 0.000 0.000
Ga 3.385 3.385 3.385
Ge 5.078 5.078 5.078
Pd 1.693 1.693 1.693
```

Summary:
N(E_F)   3.7 states/eV/cell


Record 4
The following is a PBE calculation of CrMoRhW after structural relaxation, from Alexandria via LeMat-Bulk.

Cell and atoms, written as extended XYZ:
```
4
Lattice="0.000 3.103 3.103 3.103 0.000 3.103 3.103 3.103 0.000" Properties=species:S:1:pos:R:3 pbc="T T T"
Cr 0.000 0.000 0.000
Mo 1.552 1.552 1.552
Rh 4.655 4.655 4.655
W 3.103 3.103 3.103
```

Summary:
N(E_F)   3.4 states/eV/cell


Record 5
The following is a PBE calculation of ErMg3Pd4 after structural relaxation, from Alexandria via LeMat-Bulk.

Cell and atoms, written as extended XYZ:
```
8
Lattice="4.657 0.000 0.000 0.000 4.657 0.000 0.000 0.000 6.447" Properties=species:S:1:pos:R:3 pbc="T T T"
Er 0.000 0.000 0.000
Mg 0.000 0.000 3.223
Mg 2.328 2.328 0.000
Mg 2.328 2.328 3.223
Pd 0.000 2.328 1.691
Pd 0.000 2.328 4.756
Pd 2.328 0.000 1.691
Pd 2.328 0.000 4.756
```

Summary:
N(E_F)   3.2 states/eV/cell


Record 6
The following is a PBE calculation of Mg2ScIrO8 after structural relaxation, from Alexandria via LeMat-Bulk.

Cell and atoms, written as extended XYZ:
```
12
Lattice="4.452 0.000 0.000 0.000 6.242 0.000 -0.045 0.000 4.901" Properties=species:S:1:pos:R:3 pbc="T T T"
Mg 0.000 1.551 0.000
Mg 0.000 4.691 0.000
Sc 2.203 0.000 2.450
Ir 2.203 3.121 2.450
O 1.110 3.121 0.920
O 1.137 1.720 3.191
O 1.137 4.522 3.191
O 1.171 0.000 0.675
O 3.236 0.000 4.226
O 3.269 1.720 1.709
O 3.269 4.522 1.709
O 3.296 3.121 3.980
```

Summary:
N(E_F)   4.0 states/eV/cell


Number 1: E_tot -9.6193 eV per atom. Number 2: E_tot -3.9796 eV per atom. Number 3: E_tot -5.9259 eV per atom. Number 4: E_tot -10.0801 eV per atom. Number 5: E_tot -4.5443 eV per atom. Number 6: E_tot -6.4833 eV per atom.